Material: LuThZnHg
Method: DFT, PBE-GGA
State: optimized geometry

Unit cell a=5.2197 b=5.2197 c=5.2197 alpha=60.00 beta=60.00 gamma=60.00
Fractional positions:
Th 0.7500 0.7500 0.7500
Lu 0.2500 0.2500 0.2500
Hg 0.0000 0.0000 0.0000
Zn 0.5000 0.5000 0.5000

Computed properties:
- ΔE_f (meV/atom) = -247
- energy (eV/atom) = -3.626
- M_tot (μB/f.u.) = 0.00

---

Material: CrMoPt
Method: DFT, PBE-GGA
State: optimized geometry

Unit cell a=4.8047 b=4.8047 c=4.8047 alpha=147.95 beta=131.97 gamma=58.91
Fractional positions:
Cr 0.9984 0.9984 0.0000
Pt 0.6626 0.6626 0.0000
Mo 0.3389 0.3389 0.0000

Computed properties:
- ΔE_f (meV/atom) = -2
- energy (eV/atom) = -8.834
- ΔE to the lowest computed polymorph (eV/atom) = 0.038
- M_tot (μB/f.u.) = 0.00

---

Material: RbScGe2I8
Method: DFT, PBE-GGA
State: optimized geometry

Unit cell a=7.8769 b=7.0966 c=10.4581 alpha=93.43 beta=89.06 gamma=83.34
Fractional positions:
I 0.8232 0.2199 0.8160
I 0.8697 0.2712 0.2128
I 0.1303 0.7288 0.7872
I 0.6979 0.7870 0.0127
I 0.1768 0.7801 0.1840
I 0.3722 0.2610 0.5838
I 0.6278 0.7390 0.4162
I 0.3021 0.2130 0.9873
Rb 0.0000 0.0000 0.5000
Ge 0.4242 0.4421 0.8076
Ge 0.5758 0.5579 0.1924
Sc 0.0000 0.0000 0.0000

Computed properties:
- E_form (uncorrected) (eV/atom) = -0.752
- energy (eV/atom) = -3.163
- M_tot (μB/f.u.) = 0.00

---

Material: La8ErTl2
Method: DFT, PBE-GGA
State: optimized geometry

Unit cell a=5.2836 b=9.0607 c=9.5732 alpha=118.24 beta=106.02 gamma=90.00
Fractional positions:
La 0.6603 0.8826 0.3206
La 0.0001 0.3253 0.0003
La 0.1457 0.1454 0.2915
La 0.3397 0.1174 0.6794
La 0.6605 0.4379 0.3210
La 0.9999 0.6747 0.9997
La 0.8543 0.8546 0.7085
La 0.3395 0.5621 0.6790
Tl 0.8064 0.3062 0.6128
Tl 0.1936 0.6938 0.3872
Er 0.5000 0.0000 0.0000

Computed properties:
- ΔE_f (meV/atom) = -98
- energy (eV/atom) = -4.527
- ΔE to the lowest computed polymorph (eV/atom) = 0.000
- M_tot (μB/f.u.) = 0.00

---

Material: Rb2SbRuAu
Method: DFT, PBE-GGA
State: optimized geometry

Unit cell a=7.0045 b=4.9764 c=7.0045 alpha=90.00 beta=90.00 gamma=90.00
Each line ends with the local moment (μB).
Fractional positions:
Rb 0.0000 0.0000 0.5000  0.00
Rb 0.5000 0.0000 0.0000  0.00
Au 0.5000 0.5000 0.5000  0.04
Sb 0.0000 0.0000 0.0000  -0.02
Ru 0.0000 0.5000 0.0000  1.43

Computed properties:
- E_form (uncorrected) (eV/atom) = 0.543
- energy (eV/atom) = -3.179
- M_tot (μB/f.u.) = 1.80

---

Material: Mg2GaPd3
Method: DFT, PBE-GGA
State: optimized geometry

Unit cell a=2.9590 b=5.1576 c=7.3809 alpha=110.45 beta=101.56 gamma=90.00
Fractional positions:
Ga 0.0000 0.5000 0.0000
Pd 0.0000 0.0000 0.0000
Pd 0.3491 0.3491 0.6982
Pd 0.6509 0.6509 0.3018
Mg 0.6769 0.1769 0.3538
Mg 0.3231 0.8231 0.6462

Computed properties:
- ΔE_f (meV/atom) = -470
- energy (eV/atom) = -4.103
- ΔE to the lowest computed polymorph (eV/atom) = 0.253
- M_tot (μB/f.u.) = 0.00

---

Material: Al2CuSi5
Method: DFT, PBE-GGA
State: optimized geometry

Unit cell a=7.9169 b=7.9169 c=7.9169 alpha=150.90 beta=150.90 gamma=41.63
Fractional positions:
Al 0.7476 0.7476 0.0000
Al 0.2524 0.2524 0.0000
Si 0.3800 0.8800 0.5000
Si 0.6200 0.1200 0.5000
Si 0.8800 0.3800 0.5000
Si 0.1200 0.6200 0.5000
Si 0.5000 0.5000 0.0000
Cu 0.0000 0.0000 0.0000

Computed properties:
- E_form (uncorrected) (eV/atom) = 0.317
- energy (eV/atom) = -4.520
- ΔE to the lowest computed polymorph (eV/atom) = 0.072
- M_tot (μB/f.u.) = 0.00

---

Material: Zr2Rh
Method: DFT, PBE-GGA
State: optimized geometry

Unit cell a=14.7035 b=14.7035 c=14.7035 alpha=164.28 beta=164.28 gamma=22.30
Fractional positions:
Rh 0.9152 0.9152 0.0000
Rh 0.1652 0.6652 0.5000
Rh 0.3348 0.8348 0.5000
Rh 0.0848 0.0848 0.0000
Zr 0.6640 0.1640 0.5000
Zr 0.4140 0.4140 0.0000
Zr 0.7446 0.7446 0.0000
Zr 0.5054 0.0054 0.5000
Zr 0.2554 0.2554 0.0000
Zr 0.9946 0.4946 0.5000
Zr 0.8360 0.3360 0.5000
Zr 0.5860 0.5860 0.0000

Computed properties:
- ΔE_f (meV/atom) = -348
- energy (eV/atom) = -8.498
- M_tot (μB/f.u.) = 0.00